Version P
Entry from the Alexandria database: a PBEsol-optimized structure of KMnRu2 (meta-GGA SCAN).

Lattice parameters (Å, degrees): 4.559 4.559 6.587 97.87 97.87 35.02
Sites, in units of the cell vectors:
K1 0.000 0.000 0.000
Mn1 0.500 0.500 0.500
Ru1 0.216 0.216 0.644
Ru2 0.784 0.784 0.356

Properties
- space-group type = C2/m, No. 12

Version Q
Entry from the Alexandria database: a PBEsol-optimized structure of KMnRu2 (meta-GGA SCAN).

Lattice parameters (Å, degrees): 2.765 3.647 7.729 90.00 90.00 90.00
Sites, in units of the cell vectors:
K1 0.000 0.000 0.000
Mn1 0.500 0.500 0.351
Ru1 0.000 0.000 0.526
Ru2 0.500 0.500 0.667

Properties
- space-group type = Pmm2, No. 25

Version R
Entry from the Alexandria database: a PBEsol-optimized structure of KMnRu2 (meta-GGA SCAN).

Lattice parameters (Å, degrees): 5.052 5.052 2.542 90.00 90.00 90.00
Sites, in units of the cell vectors:
K1 0.000 0.000 0.000
Mn1 0.500 0.500 0.000
Ru1 0.000 0.500 0.500
Ru2 0.500 0.000 0.500

Properties
- space-group type = P4/mmm, No. 123

Here are the energies relative to the best structure, in meV/atom: version P 237; version Q 0; version R 835.

Version P
Entry from the Alexandria database: a PBEsol-optimized structure of KMn2Ru (meta-GGA SCAN).

Lattice parameters (Å, degrees): 2.860 2.860 8.504 90.00 90.00 90.00
Sites, in units of the cell vectors:
K1 0.000 0.000 0.000
Mn1 0.000 0.000 0.528
Mn2 0.500 0.500 0.347
Ru1 0.500 0.500 0.684

Properties
- space-group type = P4mm, No. 99

Version Q
Entry from the Alexandria database: a PBEsol-optimized structure of KMn2Ru (meta-GGA SCAN).

Lattice parameters (Å, degrees): 9.932 9.932 9.932 15.36 15.36 15.36
Sites, in units of the cell vectors:
K1 0.000 0.000 0.000
Mn1 0.235 0.235 0.235
Mn2 0.765 0.765 0.765
Ru1 0.500 0.500 0.500

Properties
- space-group type = R-3m, No. 166

Here are the energies relative to the best structure, in meV/atom: version P 0; version Q 243.

Version P
Entry from the Alexandria database: a PBEsol-optimized structure of KSc2Mn (meta-GGA SCAN).

Lattice parameters (Å, degrees): 3.556 3.556 8.658 90.00 90.00 90.00
Sites, in units of the cell vectors:
K1 0.000 0.000 0.000
Sc1 0.000 0.000 0.408
Sc2 0.500 0.500 0.626
Mn1 0.500 0.500 0.318

Properties
- space-group type = P4mm, No. 99

Version Q
Entry from the Alexandria database: a PBEsol-optimized structure of KSc2Mn (meta-GGA SCAN).

Lattice parameters (Å, degrees): 5.186 5.186 5.186 60.00 60.00 60.00
Sites, in units of the cell vectors:
K1 0.000 0.000 0.000
Sc1 0.250 0.250 0.250
Sc2 0.500 0.500 0.500
Mn1 0.750 0.750 0.750

Properties
- space-group type = F-43m, No. 216

Version R
Entry from the Alexandria database: a PBEsol-optimized structure of KSc2Mn (meta-GGA SCAN).

Lattice parameters (Å, degrees): 5.069 5.069 5.069 60.00 60.00 60.00
Sites, in units of the cell vectors:
K1 0.000 0.000 0.000
Sc1 0.250 0.250 0.250
Sc2 0.750 0.750 0.750
Mn1 0.500 0.500 0.500

Properties
- space-group type = Fm-3m, No. 225

Here are the energies relative to the best structure, in meV/atom: version P 0; version Q 341; version R 227.

Version P
Entry from the Alexandria database: a PBEsol-optimized structure of KSc2Mn (meta-GGA SCAN).

Lattice parameters (Å, degrees): 5.524 5.524 3.234 90.00 90.00 106.68
Sites, in units of the cell vectors:
K1 0.000 0.000 0.000
Sc1 0.000 0.500 0.500
Sc2 0.500 0.000 0.500
Mn1 0.500 0.500 0.000

Properties
- space-group type = Cmmm, No. 65

Version Q
Entry from the Alexandria database: a PBEsol-optimized structure of KSc2Mn (meta-GGA SCAN).

Lattice parameters (Å, degrees): 10.566 10.566 10.566 18.03 18.03 18.03
Sites, in units of the cell vectors:
K1 0.000 0.000 0.000
Sc1 0.221 0.221 0.221
Sc2 0.779 0.779 0.779
Mn1 0.500 0.500 0.500

Properties
- space-group type = R-3m, No. 166

Here are the energies relative to the best structure, in meV/atom: version P 191; version Q 0.

Version P
Entry from the Alexandria database: a PBEsol-optimized structure of K2SrMn (meta-GGA SCAN).

Lattice parameters (Å, degrees): 6.213 6.213 6.213 120.12 120.12 89.80
Sites, in units of the cell vectors:
K1 0.000 0.000 0.000
K2 0.750 0.250 0.500
Sr1 0.500 0.500 0.000
Mn1 0.250 0.750 0.500

Properties
- space-group type = I-4m2, No. 119

Version Q
Entry from the Alexandria database: a PBEsol-optimized structure of K2SrMn (meta-GGA SCAN).

Lattice parameters (Å, degrees): 4.056 4.056 11.124 90.00 90.00 90.00
Sites, in units of the cell vectors:
K1 0.000 0.000 0.000
K2 0.500 0.500 0.337
Sr1 0.500 0.500 0.695
Mn1 0.000 0.000 0.546

Properties
- space-group type = P4mm, No. 99

Version R
Entry from the Alexandria database: a PBEsol-optimized structure of K2SrMn (meta-GGA SCAN).

Lattice parameters (Å, degrees): 3.945 3.945 11.759 90.00 90.00 90.00
Sites, in units of the cell vectors:
K1 0.000 0.000 0.200
K2 0.000 0.000 0.800
Sr1 0.500 0.500 0.500
Mn1 0.500 0.500 0.000

Properties
- space-group type = P4/mmm, No. 123

Here are the energies relative to the best structure, in meV/atom: version P 138; version Q 0; version R 187.

Version P
Entry from the Alexandria database: a PBEsol-optimized structure of KSrMn2 (meta-GGA SCAN).

Lattice parameters (Å, degrees): 3.721 4.552 7.859 90.00 90.00 90.00
Sites, in units of the cell vectors:
K1 0.000 0.000 0.000
Sr1 0.000 0.000 0.500
Mn1 0.500 0.500 0.332
Mn2 0.500 0.500 0.668

Properties
- space-group type = Pmmm, No. 47

Version Q
Entry from the Alexandria database: a PBEsol-optimized structure of KSrMn2 (meta-GGA SCAN).

Lattice parameters (Å, degrees): 3.547 3.547 9.634 90.00 90.00 90.00
Sites, in units of the cell vectors:
K1 0.000 0.000 0.000
Sr1 0.500 0.500 0.598
Mn1 0.000 0.000 0.379
Mn2 0.500 0.500 0.272

Properties
- space-group type = P4mm, No. 99

Here are the energies relative to the best structure, in meV/atom: version P 144; version Q 0.